# Tm4Tl2In | the Alexandria database | PBE | optimized geometry
data_Tm4Tl2In
_chemical_formula_sum 'Tm8 Tl4 In2'
_cell_length_a 7.318
_cell_length_b 6.553
_cell_length_c 8.926
_cell_angle_alpha 90.00
_cell_angle_beta 110.57
_cell_angle_gamma 90.00
_symmetry_space_group_name_H-M 'P 1 21/m 1'
_symmetry_Int_Tables_number 11
loop_
_symmetry_equiv_pos_as_xyz
'x,y,z'
'-x,-y,-z'
'-x,y+1/2,-z'
'x,-y+1/2,z'
loop_
_atom_site_label
_atom_site_fract_x
_atom_site_fract_y
_atom_site_fract_z
Tm1 0.076 0.250 0.044
Tm2 0.164 0.003 0.723
Tm3 0.298 0.750 0.344
Tl1 0.217 0.250 0.444
Tl2 0.431 0.750 0.050
In1 0.495 0.250 0.284
# Final energy ... -3.7415 eV per atom
# Formation energy from the elements ... -0.12 eV per atom
# Distance to the lowest polymorph of the same formula ... 73 meV/atom
# Size of the total moment ... 0.000 μB per atom



# Tm2TlIn | the Alexandria database | PBE | optimized geometry
data_Tm2TlIn
_chemical_formula_sum 'Tm6 Tl3 In3'
_cell_length_a 3.6102
_cell_length_b 3.6102
_cell_length_c 29.6142
_cell_angle_alpha 90.00
_cell_angle_beta 90.00
_cell_angle_gamma 120.00
_symmetry_space_group_name_H-M 'R 3 m'
_symmetry_Int_Tables_number 160
_symmetry_space_group_name_Hall 'R 3 -2"'
loop_
_atom_site_label
_atom_site_fract_x
_atom_site_fract_y
_atom_site_fract_z
Tm1 0.0000 0.0000 0.0000
Tm2 0.0000 0.0000 0.1702
Tl1 0.0000 0.0000 0.7518
In1 0.0000 0.0000 0.5851
# Final energy ... -3.7543 eV per atom
# Formation energy from the elements ... -0.24 eV per atom
# Size of the total moment ... 0.000 μB per atom



# Tm8TlIn5 | the Alexandria database | PBE | optimized geometry
data_Tm8TlIn5
_chemical_formula_sum 'Tm16 Tl2 In10'
_cell_length_a 9.205
_cell_length_b 9.205
_cell_length_c 9.220
_cell_angle_alpha 90.00
_cell_angle_beta 90.00
_cell_angle_gamma 90.00
_symmetry_space_group_name_H-M 'I -4'
_symmetry_Int_Tables_number 82
loop_
_symmetry_equiv_pos_as_xyz
'x,y,z'
'y,-x,-z'
'-x,-y,z'
'-y,x,-z'
'x+1/2,y+1/2,z+1/2'
'y+1/2,-x+1/2,-z+1/2'
'-x+1/2,-y+1/2,z+1/2'
'-y+1/2,x+1/2,-z+1/2'
loop_
_atom_site_label
_atom_site_fract_x
_atom_site_fract_y
_atom_site_fract_z
Tm1 0.075 0.325 0.449
Tm2 0.076 0.175 0.800
Tl1 0.000 0.500 0.750
In1 0.000 0.000 0.500
In2 0.125 0.249 0.125
# Final energy ... -3.9703 eV per atom
# Formation energy from the elements ... -0.27 eV per atom
# Size of the total moment ... 0.000 μB per atom